Computed, not measured: RbPHN2 after structural relaxation at the GGA-PBE level of DFT.

```
10
Lattice="3.0132 0.0000 0.0000 -1.5066 6.3240 -0.6164 0.0000 -2.4675 7.4949" Properties=species:S:1:pos:R:3 pbc="T T T"
Rb 0.0000 3.3900 1.8753
Rb 1.5066 0.4665 5.0033
P 0.0000 0.1012 1.3595
P 1.5066 3.7553 5.5190
H 1.5066 -1.0955 7.2335
H 0.0000 4.9520 -0.3549
N 0.0000 3.4887 4.7910
N 1.5066 0.3678 2.0875
N 0.0000 -1.2242 7.1975
N 1.5066 5.0807 -0.3190
```

Computed properties:
Crystal system: monoclinic
DOS(E_F), states/eV/atom: 0.068
Raw total energy, eV/atom: -5.11